# 1
Computed, not measured: a geometry-optimized Tm4TlAgHg2 structure at the PBE-GGA level of DFT.

Cell lengths 9.0297, 9.0297, 9.0297 Å; angles 33.37, 33.37, 33.37 degrees
Closest atoms and distances in Å follow each position.
Fractional coordinates of all 8 atoms:
Tm 0.1220 0.1220 0.1220  1 Ag 3.12, 4 Hg 3.17-3.32, 3 Tl 3.20
Tm 0.3726 0.3726 0.3726  4 Hg 3.09-3.18, 3 Ag 3.16, 1 Tl 3.26
Tm 0.6274 0.6274 0.6274  4 Hg 3.09-3.18, 3 Ag 3.16, 1 Tl 3.26
Tm 0.8780 0.8780 0.8780  1 Ag 3.12, 4 Hg 3.17-3.32, 3 Tl 3.20
Tl 0.5000 0.5000 0.5000  8 Tm 3.20-3.26
Ag 0.0000 0.0000 0.0000  8 Tm 3.12-3.16
Hg 0.2518 0.2518 0.2518  8 Tm 3.09-3.32
Hg 0.7482 0.7482 0.7482  8 Tm 3.09-3.32

As for the space group: No. 166. As for the energy: -3.36 eV per atom. The calculation puts the formation energy at -393 meV per atom. The magnetization comes out at 0.00 Bohr magnetons per cell. Its crystal system is trigonal.



# 2
Computed, not measured: a geometry-optimized Na2Ca4ZrNbSi4O17F structure at the PBE-GGA level of DFT.

Cell lengths 7.4415, 10.4760, 11.0005 Å; angles 90.00, 109.15, 90.00 degrees
Closest atoms and distances in Å follow each position.
Fractional coordinates of all 60 atoms:
Na 0.0824 0.0000 0.3755  3 O 2.19-2.43, 1 F 2.41
Na 0.1896 0.1506 0.1397  1 O 2.23
Na 0.8104 0.6506 0.8603  1 O 2.23
Na 0.9176 0.5000 0.6245  3 O 2.19-2.43, 1 F 2.41
Ca 0.0437 0.3461 0.3420  2 O 2.12-2.36
Ca 0.1960 0.7705 0.1512  2 O 2.22-2.45, 1 F 2.30
Ca 0.2953 0.6386 0.8670  1 O 2.09
Ca 0.4510 0.8807 0.6514  6 O 2.32-2.45
Ca 0.5490 0.3807 0.3486  6 O 2.32-2.45
Ca 0.7047 0.1386 0.1330  1 O 2.09
Ca 0.8040 0.2705 0.8488  2 O 2.22-2.45, 1 F 2.30
Ca 0.9563 0.8461 0.6580  2 O 2.12-2.36
Zr 0.3096 0.2651 0.8500  6 O 2.06-2.19
Zr 0.6904 0.7651 0.1500  6 O 2.06-2.19
Nb 0.4063 0.5141 0.6132  3 O 1.84-1.98
Nb 0.5937 0.0141 0.3868  3 O 1.84-1.98
Si 0.0455 0.6970 0.4273  4 O 1.61-1.67
Si 0.1311 0.4489 0.0668  4 O 1.61-1.69
Si 0.3005 0.9494 0.9303  4 O 1.61-1.67
Si 0.3809 0.1928 0.5768  4 O 1.64-1.65
Si 0.6191 0.6928 0.4232  4 O 1.64-1.65
Si 0.6995 0.4494 0.0697  4 O 1.61-1.67
Si 0.8689 0.9489 0.9332  4 O 1.61-1.69
Si 0.9545 0.1970 0.5727  4 O 1.61-1.67
O 0.0129 0.6663 0.7504  2 Ca 2.09-2.12, 2 Na 2.19-2.23
O 0.0204 0.2131 0.7305  1 Si 1.65
O 0.1072 0.9324 0.9737  2 Si 1.67-1.69
O 0.1474 0.8209 0.5061  1 Si 1.61
O 0.1500 0.1674 0.5374  2 Si 1.65
O 0.1620 0.3468 0.9590  1 Si 1.67
O 0.1680 0.5624 0.4760  1 Si 1.67
O 0.1726 0.5941 0.0343  1 Si 1.62
O 0.2360 0.4001 0.2119  1 Si 1.61
O 0.2656 0.9113 0.7829  1 Si 1.61
O 0.2940 0.4313 0.7275  1 Nb 1.93
O 0.3731 0.0974 0.9662  1 Si 1.65
O 0.4019 0.3304 0.5114  1 Si 1.64
O 0.4369 0.8405 0.0270  1 Si 1.66
O 0.4535 0.0675 0.5173  1 Si 1.64
O 0.4661 0.6615 0.7086  1 Nb 1.84
O 0.4739 0.1949 0.7337  1 Si 1.64
O 0.5261 0.6949 0.2663  1 Si 1.64
O 0.5339 0.1615 0.2914  1 Nb 1.84
O 0.5465 0.5675 0.4827  1 Si 1.64
O 0.5631 0.3405 0.9730  1 Si 1.66
O 0.5981 0.8304 0.4886  1 Si 1.64
O 0.6269 0.5974 0.0338  1 Si 1.65
O 0.7060 0.9313 0.2725  1 Nb 1.93
O 0.7344 0.4113 0.2171  1 Si 1.61
O 0.7640 0.9001 0.7881  1 Si 1.61
O 0.8274 0.0941 0.9657  1 Si 1.62
O 0.8320 0.0624 0.5240  1 Si 1.67
O 0.8380 0.8468 0.0410  1 Si 1.67
O 0.8500 0.6674 0.4626  2 Si 1.65
O 0.8526 0.3209 0.4939  1 Si 1.61
O 0.8928 0.4324 0.0263  2 Si 1.67-1.69
O 0.9796 0.7131 0.2695  1 Si 1.65
O 0.9871 0.1663 0.2496  2 Ca 2.09-2.12, 2 Na 2.19-2.23
F 0.3165 0.9464 0.2764  1 Nb 2.14, 1 Ca 2.30
F 0.6835 0.4464 0.7236  1 Nb 2.14, 1 Ca 2.30

As for the space group: No. 4. The raw formation energy is -2.88 eV/atom. As for the energy: -7.45 eV per atom. The magnetization comes out at 0.20 Bohr magnetons per cell. Its crystal system is monoclinic.



# 3
Computed, not measured: a geometry-optimized SbTeBr2 structure at the PBE-GGA level of DFT.

Cell lengths 5.3150, 5.3150, 5.3150 Å; angles 119.96, 119.96, 90.06 degrees
Closest atoms and distances in Å follow each position.
Fractional coordinates of all 4 atoms:
Sb 0.0000 0.0000 0.0000  4 Br 3.26, 4 Te 3.26
Te 0.7500 0.2500 0.5000  4 Br 3.26, 4 Sb 3.26
Br 0.2500 0.7500 0.5000  4 Br 3.26, 4 Sb 3.26
Br 0.5000 0.5000 0.0000  4 Br 3.26, 4 Te 3.26

As for the space group: No. 119. The raw formation energy is 0.05 eV/atom. As for the energy: -2.61 eV per atom. The magnetization comes out at 0.00 Bohr magnetons per cell. The relative energy among the computed polymorphs is 341 meV/atom. Its crystal system is tetragonal.



# 4
Computed, not measured: a geometry-optimized KBa2Cd2 structure at the PBE-GGA level of DFT.

Cell lengths 7.1122, 7.1122, 7.1122 Å; angles 124.52, 124.52, 82.34 degrees
Closest atoms and distances in Å follow each position.
Fractional coordinates of all 5 atoms:
K 0.0000 0.0000 0.0000  2 Cd 3.96, 8 Ba 4.26
Ba 0.2500 0.7500 0.5000  4 Cd 3.55
Ba 0.7500 0.2500 0.5000  4 Cd 3.55
Cd 0.3701 0.3701 0.0000  1 Cd 2.78
Cd 0.6299 0.6299 0.0000  1 Cd 2.78

As for the space group: No. 139. As for the energy: -1.44 eV per atom. The calculation puts the formation energy at -81 meV per atom. The magnetization comes out at 0.00 Bohr magnetons per cell. The relative energy among the computed polymorphs is 101 meV/atom. Its crystal system is tetragonal.